Entry 1:
A relaxed BeSeO3 crystal, computed with PBE.

VASP energy   -4.853 eV/atom
ρ   5.46 g/cm³
Total magnetization   0.0 μB per formula unit

```
BeSeO3
1.0
-3.0884 -1.5250 -0.3119
0.3420 -1.3408 3.1697
-1.5185 2.7996 1.3481
Se Be O
1 1 3
Direct
0.5000 0.5000 0.5000
0.0000 0.0000 0.0000
0.0000 0.5000 0.0000
0.0000 0.0000 0.5000
0.5000 0.0000 0.0000
```


Entry 2:
A relaxed MnRhAuBr2 crystal, computed with PBE.

VASP energy   -3.952 eV/atom
ρ   6.82 g/cm³
Total magnetization   6.0 μB per formula unit

```
MnRhAuBr2
1.0
-2.6346 1.0527 -4.0337
-4.3358 -1.1792 2.5242
-0.4074 4.6839 1.4884
Br Au Rh Mn
2 1 1 1
Direct
0.5000 0.0000 0.0000
0.0000 0.0000 0.5000
0.0000 0.5000 0.0000
0.5000 0.5000 0.5000
0.0000 0.0000 0.0000
```


Entry 3:
A relaxed Er4PPdSe2 crystal, computed with PBE.

VASP energy   -5.940 eV/atom
ρ   8.59 g/cm³
Total magnetization   0.0 μB per formula unit

```
Er4PPdSe2
1.0
3.9788 0.0000 0.0000
0.0000 7.0354 -0.1896
0.0000 2.4278 6.5913
Er Pd P Se
4 1 1 2
Direct
0.0000 0.2649 0.2485
0.0000 0.7351 0.7515
0.5000 0.7331 0.2613
0.5000 0.2669 0.7387
0.5000 0.5000 0.0000
0.0000 0.5000 0.5000
0.0000 0.0000 0.0000
0.5000 0.0000 0.5000
```


Question: Which of these has the highest ρ?
Answer: Er4PPdSe2